Below is PdAu3I at its PBEsol-relaxed geometry, with properties calculated at the meta-GGA SCAN level.

```
PdAu3I
1.0
-2.2371 4.2417 -1.2551
-4.1836 -1.5719 2.1444
1.4369 2.0270 4.2893
I Au Pd
1 3 1
direct
0.5000 0.5000 0.5000
0.0000 0.5000 0.0000
0.0000 0.0000 0.5000
0.5000 0.0000 0.0000
0.0000 0.0000 0.0000
```

Its density of states at the Fermi level is 2.39 states/eV per cell. The calculation puts the uncorrected formation energy at 0.7733 eV per atom.

Below is NbZnSb2Te at its PBEsol-relaxed geometry, with properties calculated at the meta-GGA SCAN level.

```
NbZnSb2Te
1.0
5.2811 0.0000 0.0000
0.0000 5.3365 0.0000
0.0000 0.0000 5.3365
Sb Nb Te Zn
2 1 1 1
direct
0.0000 0.0000 0.5000
0.0000 0.5000 0.0000
0.0000 0.0000 0.0000
0.5000 0.0000 0.0000
0.5000 0.5000 0.5000
```

Its density of states at the Fermi level is 3.65 states/eV per cell. The calculation puts the uncorrected formation energy at 0.4509 eV per atom.

Below is Sr2TlH2 at its PBEsol-relaxed geometry, with properties calculated at the meta-GGA SCAN level.

```
Sr2TlH2
1.0
-0.1724 -3.9423 -0.7751
2.1616 -0.7450 3.3083
-6.7891 1.8735 2.4135
Sr Tl H
2 1 2
direct
0.3471 0.3471 0.6942
0.6529 0.6529 0.3058
0.0000 0.0000 0.0000
0.2500 0.7500 0.5000
0.7500 0.2500 0.5000
```

Its density of states at the Fermi level is 3.28 states/eV per cell. For the final energy, the calculation gives -25.340 eV/atom.

Below is Zn2SbW at its PBEsol-relaxed geometry, with properties calculated at the meta-GGA SCAN level.

```
Zn2SbW
1.0
-0.5730 -2.2850 -1.6151
1.2100 -2.8522 3.6059
-4.6436 0.0409 1.5905
Sb W Zn
1 1 2
direct
0.3755 0.0000 0.5187
0.3747 0.5000 0.2222
0.8752 0.0000 0.0245
0.8746 0.5000 0.7345
```

Its density of states at the Fermi level is 1.69 states/eV per cell. The calculation puts the uncorrected formation energy at 0.4586 eV per atom.

Below is BaSi2Se at its PBEsol-relaxed geometry, with properties calculated at the meta-GGA SCAN level.

```
BaSi2Se
1.0
3.9841 0.0000 -0.0027
0.0000 5.0852 0.0000
-0.2781 0.0000 5.1645
Si Ba Se
2 1 1
direct
0.7690 0.0000 0.6300
0.2310 0.0000 0.3700
0.5000 0.5000 0.0000
0.0000 0.5000 0.5000
```

Its density of states at the Fermi level is 1.36 states/eV per cell. The calculation puts the energy relative to the lowest polymorph listed for this composition at 0.0000 eV/atom. The calculation puts the uncorrected formation energy at -0.3897 eV per atom.

Below is Na2CuO2 at its PBEsol-relaxed geometry, with properties calculated at the meta-GGA SCAN level.

```
Na2CuO2
1.0
2.8999 0.0000 0.0000
0.0000 5.5842 -0.0289
0.0000 -2.7353 7.7563
Na Cu O
4 2 4
direct
0.2500 0.6225 0.8826
0.7500 0.3775 0.1174
0.2500 0.6796 0.4410
0.7500 0.3204 0.5590
0.2500 0.0269 0.7593
0.7500 0.9731 0.2407
0.7500 0.7710 0.6826
0.2500 0.2290 0.3174
0.7500 0.2700 0.8218
0.2500 0.7300 0.1782
```

The calculation puts the energy relative to the lowest polymorph listed for this composition at 0.0306 eV/atom. The calculation puts the uncorrected formation energy at -1.2360 eV per atom.

Below is KTc2Ru at its PBEsol-relaxed geometry, with properties calculated at the meta-GGA SCAN level.

```
KTc2Ru
1.0
3.1156 0.0000 0.0000
0.0000 3.1156 0.0000
0.0000 0.0000 8.0866
K Ru Tc
1 1 2
direct
0.0000 0.0000 0.5060
0.5000 0.5000 0.8362
0.0000 0.0000 0.0040
0.5000 0.5000 0.1538
```

The formation energy is 3.35 eV per formula unit. Its density of states at the Fermi level is 3.89 states/eV per cell.

Below is KLa2BeCo at its PBEsol-relaxed geometry, with properties calculated at the meta-GGA SCAN level.

```
KLa2BeCo
1.0
5.0626 0.0000 0.0000
0.0000 5.0626 0.0000
0.0000 0.0000 5.8514
Be K Co La
1 1 1 2
direct
0.5000 0.5000 0.5000
0.0000 0.0000 0.5000
0.0000 0.0000 0.0000
0.0000 0.5000 0.0000
0.5000 0.0000 0.0000
```

The formation energy is 3.15 eV per formula unit. Its density of states at the Fermi level is 3.09 states/eV per cell.

Below is Mg2TaP at its PBEsol-relaxed geometry, with properties calculated at the meta-GGA SCAN level.

```
Mg2TaP
1.0
-1.4538 2.4013 -0.7698
-3.1862 -0.8471 3.3748
3.3295 1.6505 3.5577
Mg P Ta
2 1 1
direct
0.1386 0.0000 0.7558
0.8614 0.0000 0.2442
0.5000 0.5000 0.0000
0.5000 0.5000 0.5000
```

The formation energy is 0.53 eV per formula unit. Its density of states at the Fermi level is 2.36 states/eV per cell.

Below is SiTe3N at its PBEsol-relaxed geometry, with properties calculated at the meta-GGA SCAN level.

```
SiTe3N
1.0
-2.8875 2.7937 3.3250
-4.3414 -1.9603 -2.1231
0.1125 -3.9434 3.4109
Si Te N
1 3 1
direct
0.0000 0.0000 0.0000
0.0000 0.5000 0.0000
0.0000 0.0000 0.5000
0.5000 0.0000 0.0000
0.5000 0.5000 0.5000
```

Its density of states at the Fermi level is 4.11 states/eV per cell. The calculation puts the uncorrected formation energy at 1.4026 eV per atom.

Below is TaMo2H2 at its PBEsol-relaxed geometry, with properties calculated at the meta-GGA SCAN level.

```
TaMo2H2
1.0
-3.1984 0.3710 0.4696
-0.5597 -0.9499 -3.0614
1.5491 -4.5210 2.8489
H Mo Ta
2 2 1
direct
0.2500 0.7500 0.5000
0.7500 0.2500 0.5000
0.3454 0.3454 0.6908
0.6546 0.6546 0.3092
0.0000 0.0000 0.0000
```

Its density of states at the Fermi level is 2.43 states/eV per cell. For the final energy, the calculation gives -28.644 eV/atom.

Below is GeW2Br at its PBEsol-relaxed geometry, with properties calculated at the meta-GGA SCAN level.

```
GeW2Br
1.0
4.4347 0.0000 0.0000
2.2174 3.8406 0.0000
2.2174 1.2802 3.6210
Ge Br W
1 1 2
direct
0.0000 0.0000 0.0000
0.5000 0.5000 0.5000
0.2500 0.2500 0.2500
0.7500 0.7500 0.7500
```

Its density of states at the Fermi level is 4.24 states/eV per cell. The calculation puts the uncorrected formation energy at 1.1514 eV per atom.

Below is KLa2SiN at its PBEsol-relaxed geometry, with properties calculated at the meta-GGA SCAN level.

```
KLa2SiN
1.0
5.5636 0.0000 0.0000
0.0000 5.5636 0.0000
0.0000 0.0000 5.5801
K N Si La
1 1 1 2
direct
0.0000 0.0000 0.5000
0.5000 0.5000 0.5000
0.0000 0.0000 0.0000
0.0000 0.5000 0.0000
0.5000 0.0000 0.0000
```

Its density of states at the Fermi level is 0.56 states/eV per cell. The calculation puts the uncorrected formation energy at 0.9408 eV per atom.

Below is TiCuNi2 at its PBEsol-relaxed geometry, with properties calculated at the meta-GGA SCAN level.

```
TiCuNi2
1.0
3.0269 0.0000 0.0000
0.0000 3.0269 0.0000
0.0000 0.0000 5.1598
Ni Cu Ti
2 1 1
direct
0.5000 0.5000 0.7562
0.5000 0.5000 0.2438
0.0000 0.0000 0.0000
0.0000 0.0000 0.5000
```

The formation energy is -1.21 eV per formula unit. Its density of states at the Fermi level is 1.08 states/eV per cell.

Below is RbNCl2 at its PBEsol-relaxed geometry, with properties calculated at the meta-GGA SCAN level.

```
RbNCl2
1.0
-4.6678 2.8456 -3.4407
1.0247 -6.3992 -0.6192
-2.5978 2.3177 5.4410
N Rb Cl
2 2 4
direct
0.5000 0.0000 0.5000
0.7500 0.5000 0.2500
0.0000 0.0000 0.0000
0.2500 0.5000 0.7500
0.6250 0.7500 0.3750
0.1250 0.7500 0.3750
0.6250 0.2500 0.3750
0.6250 0.2500 0.8750
```

The calculation puts the uncorrected formation energy at 0.0543 eV per atom.

Below is CaLa2Al at its PBEsol-relaxed geometry, with properties calculated at the meta-GGA SCAN level.

```
CaLa2Al
1.0
3.6927 0.0000 0.0000
1.8464 3.1980 0.0000
1.8464 1.0660 11.3573
Ca Al La
1 1 2
direct
0.0000 0.0000 0.0000
0.5000 0.5000 0.5000
0.2335 0.2335 0.2994
0.7665 0.7665 0.7006
```

The formation energy is -0.08 eV per formula unit. Its density of states at the Fermi level is 4.87 states/eV per cell.

Below is BaMnRh2 at its PBEsol-relaxed geometry, with properties calculated at the meta-GGA SCAN level.

```
BaMnRh2
1.0
-1.1945 2.3780 2.5434
2.9922 -1.6459 2.9441
3.0391 3.0227 -1.3989
Ba Mn Rh
1 1 2
direct
0.5000 0.5000 0.5000
0.5000 0.0000 0.0000
0.0000 0.0000 0.5000
0.0000 0.5000 0.0000
```

The formation energy is 1.07 eV per formula unit. Its density of states at the Fermi level is 2.69 states/eV per cell.

Below is NaSnO3 at its PBEsol-relaxed geometry, with properties calculated at the meta-GGA SCAN level.

```
NaSnO3
1.0
-0.1886 1.6178 3.7141
3.5284 -1.7613 0.9463
1.9905 3.2754 -1.3256
Na Sn O
1 1 3
direct
0.0000 0.0000 0.0000
0.5000 0.5000 0.5000
0.0000 0.5000 0.0000
0.0000 0.0000 0.5000
0.5000 0.0000 0.0000
```

Its density of states at the Fermi level is 1.75 states/eV per cell. The calculation puts the uncorrected formation energy at -0.0158 eV per atom.

Below is Fe2CoRu at its PBEsol-relaxed geometry, with properties calculated at the meta-GGA SCAN level.

```
Fe2CoRu
1.0
-2.5304 -0.3621 1.1446
1.3825 -3.3327 2.0020
1.6543 4.1721 1.5505
Co Fe Ru
1 2 1
direct
0.0000 0.5000 0.0000
0.7443 0.7443 0.4886
0.2557 0.2557 0.5114
0.5000 0.0000 0.0000
```

The formation energy is 0.00 eV per formula unit. Its density of states at the Fermi level is 2.20 states/eV per cell.

Below is KFeSi2 at its PBEsol-relaxed geometry, with properties calculated at the meta-GGA SCAN level.

```
KFeSi2
1.0
2.8559 0.0000 0.0000
-1.4279 3.7868 0.0073
0.0000 -0.8941 6.9113
Fe K Si
1 1 2
direct
0.0000 0.0000 0.5000
0.5000 0.0000 0.0000
0.7266 0.4531 0.6380
0.2734 0.5469 0.3620
```

Its density of states at the Fermi level is 1.36 states/eV per cell. The calculation puts the energy relative to the lowest polymorph listed for this composition at 0.0000 eV/atom. The calculation puts the uncorrected formation energy at 0.0893 eV per atom.

Below is YPtF3 at its PBEsol-relaxed geometry, with properties calculated at the meta-GGA SCAN level.

```
YPtF3
1.0
4.3293 0.0000 0.0000
0.0000 4.3293 0.0000
0.0000 0.0000 4.3293
Y Pt F
1 1 3
direct
0.0000 0.0000 0.0000
0.5000 0.5000 0.5000
0.0000 0.5000 0.0000
0.0000 0.0000 0.5000
0.5000 0.0000 0.0000
```

Its density of states at the Fermi level is 4.52 states/eV per cell. The calculation puts the uncorrected formation energy at -2.3843 eV per atom.

Below is SrNiCl2 at its PBEsol-relaxed geometry, with properties calculated at the meta-GGA SCAN level.

```
SrNiCl2
1.0
-3.7315 -1.1666 -0.6985
0.8369 -3.6220 1.5785
-1.8687 3.5712 4.0184
Sr Cl Ni
1 2 1
direct
0.5000 0.5639 0.1277
0.0000 0.9792 0.9584
0.5000 0.2768 0.5537
0.0000 0.1862 0.3724
```

The calculation puts the energy relative to the lowest polymorph listed for this composition at 0.0000 eV/atom. The calculation puts the uncorrected formation energy at -1.3185 eV per atom.

Below is La2TcPtBr at its PBEsol-relaxed geometry, with properties calculated at the meta-GGA SCAN level.

```
La2TcPtBr
1.0
4.3966 0.0000 0.0000
0.0000 5.5271 0.0000
0.0000 0.0000 5.5271
Br Tc Pt La
1 1 1 2
direct
0.0000 0.0000 0.0000
0.5000 0.0000 0.0000
0.5000 0.5000 0.5000
0.0000 0.0000 0.5000
0.0000 0.5000 0.0000
```

Its density of states at the Fermi level is 2.85 states/eV per cell. The calculation puts the uncorrected formation energy at 0.1625 eV per atom.

Below is ZrMoCl4 at its PBEsol-relaxed geometry, with properties calculated at the meta-GGA SCAN level.

```
ZrMoCl4
1.0
5.5249 0.0000 0.0000
2.7624 4.7847 0.0000
2.7624 1.5949 4.5110
Cl Mo Zr
4 1 1
direct
0.3749 0.3749 0.3749
0.3749 0.3749 0.8754
0.8754 0.3749 0.3749
0.3749 0.8754 0.3749
0.7500 0.7500 0.7500
0.0000 0.0000 0.0000
```

Its density of states at the Fermi level is 5.70 states/eV per cell. The calculation puts the uncorrected formation energy at 0.7508 eV per atom.

Below is YMgAs at its PBEsol-relaxed geometry, with properties calculated at the meta-GGA SCAN level.

```
YMgAs
1.0
-0.0542 -2.2686 3.1426
-1.2424 -3.3879 -2.4672
4.2504 0.7917 0.6449
Y As Mg
1 1 1
direct
0.3334 0.6667 0.3333
0.8337 0.0000 0.0000
0.8330 0.3333 0.6667
```

The formation energy is -2.40 eV per formula unit. Its density of states at the Fermi level is 0.38 states/eV per cell. The calculation puts the energy relative to the lowest polymorph listed for this composition at 0.0000 eV/atom.

Below is Y2CuBr at its PBEsol-relaxed geometry, with properties calculated at the meta-GGA SCAN level.

```
Y2CuBr
1.0
-0.2758 2.4089 3.1006
-2.8548 -0.0591 -2.7063
-1.3556 -5.8491 4.4237
Br Cu Y
1 1 2
direct
0.0000 0.0000 0.5000
0.5000 0.0000 0.0000
0.7606 0.5212 0.7823
0.2394 0.4788 0.2177
```

Its density of states at the Fermi level is 2.61 states/eV per cell. The calculation puts the energy relative to the lowest polymorph listed for this composition at 0.0000 eV/atom. The calculation puts the uncorrected formation energy at -0.7708 eV per atom.

Below is ScIr3 at its PBEsol-relaxed geometry, with properties calculated at the meta-GGA SCAN level.

```
ScIr3
1.0
2.8037 0.0000 0.0000
0.0000 4.7035 0.0002
0.0000 -1.4237 4.4828
Sc Ir
1 3
direct
0.0000 0.5000 0.5000
0.0000 0.0000 0.0000
0.5000 0.0000 0.5000
0.5000 0.5000 0.0000
```

The formation energy is -2.48 eV per formula unit. Its density of states at the Fermi level is 2.45 states/eV per cell.

Below is BaTi2TeIr at its PBEsol-relaxed geometry, with properties calculated at the meta-GGA SCAN level.

```
BaTi2TeIr
1.0
5.0086 0.0000 0.0000
0.0000 4.9930 0.0000
0.0000 0.0000 4.9930
Ir Te Ba Ti
1 1 1 2
direct
0.5000 0.0000 0.0000
0.5000 0.5000 0.5000
0.0000 0.0000 0.0000
0.0000 0.0000 0.5000
0.0000 0.5000 0.0000
```

Its density of states at the Fermi level is 6.31 states/eV per cell. The calculation puts the uncorrected formation energy at 2.0195 eV per atom.

Below is NiAgOs2 at its PBEsol-relaxed geometry, with properties calculated at the meta-GGA SCAN level.

```
NiAgOs2
1.0
-2.4760 1.0566 -0.3282
-1.0518 -2.4975 -0.1058
-0.9514 0.0851 7.4508
Ag Ni Os
1 1 2
direct
0.0000 0.0000 0.5138
0.5000 0.5000 0.7630
0.0000 0.0000 0.9938
0.5000 0.5000 0.2294
```

The formation energy is 1.44 eV per formula unit. Its density of states at the Fermi level is 3.85 states/eV per cell. The calculation puts the energy relative to the lowest polymorph listed for this composition at 0.0000 eV/atom.